VASP calculation (PBE) on a relaxed structure of La5CO4.

Summary:
Calculated total energy (eV/atom): -7.693
Total magnetic moment (μB per formula unit): 0.000
Symmetry: Immm (71)

Lattice parameters (Å, degrees): 9.7833 9.7833 9.7833 158.08 149.09 38.22
Closest atoms and distances in Å follow each position.
Atoms (fractional coordinates):
La 0.0000 0.0000 0.0000  2 C 2.61, 4 O 2.65
La 0.1993 0.1993 0.0000  6 O 2.55-2.61
La 0.4000 0.4000 0.0000  4 O 2.61-2.70, 2 C 2.62
La 0.6000 0.6000 0.0000  4 O 2.61-2.70, 2 C 2.62
La 0.8007 0.8007 0.0000  6 O 2.55-2.61
C 0.5000 0.0000 0.5000  6 La 2.61-2.62
O 0.1023 0.6023 0.5000  6 La 2.58-2.65
O 0.2938 0.7938 0.5000  6 La 2.55-2.70
O 0.7062 0.2062 0.5000  6 La 2.55-2.70
O 0.8977 0.3977 0.5000  6 La 2.58-2.65

***

VASP calculation (PBE) on a relaxed structure of LaC2O6.

Summary:
Calculated total energy (eV/atom): -7.800
Total magnetic moment (μB per formula unit): 1.008
Symmetry: Fdd2 (43)

Lattice parameters (Å, degrees): 6.8371 6.8251 8.2249 53.05 52.92 74.03
Closest atoms and distances in Å follow each position.
Atoms (fractional coordinates):
La 0.0000 0.0000 0.0000  8 O 2.48-2.58
La 0.2500 0.2500 0.2500  8 O 2.48-2.58
C 0.1254 0.6247 0.4375  3 O 1.28-1.30
C 0.4376 0.8125 0.6253  3 O 1.28-1.30
C 0.6247 0.1254 0.8124  3 O 1.28-1.30
C 0.8125 0.4376 0.1246  3 O 1.28-1.30
O 0.1245 0.8277 0.4143  1 C 1.28
O 0.1249 0.6256 0.2792  1 C 1.30
O 0.1270 0.4206 0.6147  1 C 1.28
O 0.2796 0.9708 0.6244  1 C 1.30
O 0.4123 0.6353 0.8294  1 C 1.28
O 0.4206 0.1270 0.8377  1 C 1.28
O 0.6164 0.8357 0.4223  1 C 1.28
O 0.6256 0.1249 0.9704  1 C 1.30
O 0.6353 0.4123 0.1230  1 C 1.28
O 0.8277 0.1245 0.6336  1 C 1.28
O 0.8357 0.6164 0.1255  1 C 1.28
O 0.9708 0.2796 0.1251  1 C 1.30

***

VASP calculation (PBE) on a relaxed structure of La2CO.

Summary:
Calculated total energy (eV/atom): -7.437
Total magnetic moment (μB per formula unit): 0.000
Energy above the most stable polymorph in this dataset (meV per atom): 0
Symmetry: R-3m (166)

Lattice parameters (Å, degrees): 6.5063 6.5063 6.5063 34.04 34.04 34.04
Closest atoms and distances in Å follow each position.
Atoms (fractional coordinates):
La 0.2490 0.2490 0.2490  3 C 2.67, 3 O 2.69
La 0.7510 0.7510 0.7510  3 C 2.67, 3 O 2.69
C 0.5000 0.5000 0.5000  6 La 2.67
O 0.0000 0.0000 0.0000  6 La 2.69

***

VASP calculation (PBE) on a relaxed structure of La2C2O.

Summary:
Calculated total energy (eV/atom): -7.868
Total magnetic moment (μB per formula unit): 0.000
Energy above the most stable polymorph in this dataset (meV per atom): 0
Symmetry: C2/c (15)

Lattice parameters (Å, degrees): 7.2078 7.2078 6.7542 108.04 108.04 35.19
Closest atoms and distances in Å follow each position.
Atoms (fractional coordinates):
La 0.0363 0.7047 0.9048  2 O 2.50, 3 C 2.55-2.71
La 0.2953 0.9637 0.5952  2 O 2.50, 3 C 2.55-2.71
La 0.7047 0.0363 0.4048  2 O 2.50, 3 C 2.55-2.71
La 0.9637 0.2953 0.0952  2 O 2.50, 3 C 2.55-2.71
C 0.1461 0.4022 0.4796  1 C 1.33
C 0.4022 0.1461 0.9796  1 C 1.33
C 0.5978 0.8539 0.0204  1 C 1.33
C 0.8539 0.5978 0.5204  1 C 1.33
O 0.0362 0.9638 0.2500  4 La 2.50
O 0.9638 0.0362 0.7500  4 La 2.50

***

VASP calculation (PBE) on a relaxed structure of La2C2O.

Summary:
Calculated total energy (eV/atom): -7.430
Total magnetic moment (μB per formula unit): 0.000
Energy above the most stable polymorph in this dataset (meV per atom): 438
Symmetry: P4/mbm (127)

Lattice parameters (Å, degrees): 6.9229 6.9229 3.3321 90.00 90.00 90.00
Closest atoms and distances in Å follow each position.
Atoms (fractional coordinates):
La 0.2155 0.2845 0.0000  6 C 2.70-2.77, 4 O 2.98
La 0.2845 0.7845 0.0000  6 C 2.70-2.77, 4 O 2.98
La 0.7155 0.2155 0.0000  6 C 2.70-2.77, 4 O 2.98
La 0.7845 0.7155 0.0000  6 C 2.70-2.77, 4 O 2.98
C 0.0674 0.5674 0.5000  1 C 1.32
C 0.4326 0.0674 0.5000  1 C 1.32
C 0.5674 0.9326 0.5000  1 C 1.32
C 0.9326 0.4326 0.5000  1 C 1.32
O 0.0000 0.0000 0.5000  8 La 2.98, 4 C 3.03, 2 O 3.33
O 0.5000 0.5000 0.5000  8 La 2.98, 4 C 3.03, 2 O 3.33

***

VASP calculation (PBE) on a relaxed structure of La3CO2.

Summary:
Calculated total energy (eV/atom): -7.627
Total magnetic moment (μB per formula unit): 0.000
Symmetry: Immm (71)

Lattice parameters (Å, degrees): 6.4527 6.4527 6.4527 146.09 131.75 60.27
Closest atoms and distances in Å follow each position.
Atoms (fractional coordinates):
La 0.0000 0.0000 0.0000  4 O 2.60, 2 C 2.64
La 0.3344 0.3344 0.0000  4 O 2.64-2.70, 2 C 2.64
La 0.6656 0.6656 0.0000  4 O 2.64-2.70, 2 C 2.64
C 0.5000 0.0000 0.5000  6 La 2.64
O 0.1610 0.6610 0.5000  6 La 2.60-2.70
O 0.8390 0.3390 0.5000  6 La 2.60-2.70

***

VASP calculation (PBE) on a relaxed structure of La2CO5.

Summary:
Calculated total energy (eV/atom): -8.327
Total magnetic moment (μB per formula unit): 0.000
Energy above the most stable polymorph in this dataset (meV per atom): 0
Symmetry: C2/c (15)

Lattice parameters (Å, degrees): 7.0980 7.0980 16.5388 102.39 102.39 60.01
Closest atoms and distances in Å follow each position.
Atoms (fractional coordinates):
La 0.0358 0.8604 0.5945  7 O 2.43-2.61
La 0.1396 0.9642 0.9055  7 O 2.43-2.61
La 0.2032 0.3645 0.0941  7 O 2.42-2.62
La 0.3054 0.4679 0.4032  7 O 2.38-2.59
La 0.3645 0.2032 0.5941  7 O 2.42-2.62
La 0.4679 0.3054 0.9032  7 O 2.38-2.59
La 0.5321 0.6946 0.0968  7 O 2.38-2.59
La 0.6355 0.7968 0.4059  7 O 2.42-2.62
La 0.6946 0.5321 0.5968  7 O 2.38-2.59
La 0.7968 0.6355 0.9059  7 O 2.42-2.62
La 0.8604 0.0358 0.0945  7 O 2.43-2.61
La 0.9642 0.1396 0.4055  7 O 2.43-2.61
C 0.0309 0.5839 0.7502  3 O 1.29-1.30
C 0.1969 0.8031 0.2500  3 O 1.29-1.30
C 0.4161 0.9691 0.7498  3 O 1.29-1.30
C 0.5839 0.0309 0.2502  3 O 1.29-1.30
C 0.8031 0.1969 0.7500  3 O 1.29-1.30
C 0.9691 0.4161 0.2498  3 O 1.29-1.30
O 0.0151 0.9849 0.2500  1 C 1.29
O 0.0216 0.1842 0.5587  4 La 2.44-2.47
O 0.0919 0.5599 0.6784  1 C 1.30
O 0.1451 0.3141 0.9411  4 La 2.44-2.47
O 0.1455 0.6070 0.8205  1 C 1.30
O 0.1507 0.4153 0.2484  1 C 1.29
O 0.1842 0.0216 0.0587  4 La 2.44-2.47
O 0.2616 0.6914 0.1789  1 C 1.30
O 0.3086 0.7385 0.3211  1 C 1.30
O 0.3141 0.1451 0.4411  4 La 2.44-2.47
O 0.3486 0.5173 0.5519  4 La 2.38-2.46
O 0.3930 0.8545 0.6795  1 C 1.30
O 0.4153 0.1507 0.7484  1 C 1.29
O 0.4401 0.9081 0.8216  1 C 1.30
O 0.4827 0.6514 0.9481  4 La 2.38-2.46
O 0.5173 0.3486 0.0519  4 La 2.38-2.46
O 0.5599 0.0919 0.1784  1 C 1.30
O 0.5847 0.8493 0.2516  1 C 1.29
O 0.6070 0.1455 0.3205  1 C 1.30
O 0.6514 0.4827 0.4481  4 La 2.38-2.46
O 0.6859 0.8549 0.5589  4 La 2.44-2.47
O 0.6914 0.2616 0.6789  1 C 1.30
O 0.7385 0.3086 0.8211  1 C 1.30
O 0.8158 0.9784 0.9413  4 La 2.44-2.47
O 0.8493 0.5847 0.7516  1 C 1.29
O 0.8545 0.3930 0.1795  1 C 1.30
O 0.8549 0.6859 0.0589  4 La 2.44-2.47
O 0.9081 0.4401 0.3216  1 C 1.30
O 0.9784 0.8158 0.4413  4 La 2.44-2.47
O 0.9849 0.0151 0.7500  1 C 1.29

***

VASP calculation (PBE) on a relaxed structure of La5CO5.

Summary:
Calculated total energy (eV/atom): -7.826
Total magnetic moment (μB per formula unit): 0.000
Symmetry: C2/m (12)

Lattice parameters (Å, degrees): 6.4476 6.4476 7.4258 108.84 108.84 47.37
Closest atoms and distances in Å follow each position.
Atoms (fractional coordinates):
La 0.0000 0.0000 0.0000  4 O 2.58-2.73, 2 C 2.59
La 0.3224 0.3224 0.6723  4 O 2.48-2.59, 1 C 2.59
La 0.3498 0.3498 0.1884  5 O 2.37-2.63, 1 C 2.62
La 0.6502 0.6502 0.8116  5 O 2.37-2.63, 1 C 2.62
La 0.6776 0.6776 0.3277  4 O 2.48-2.59, 1 C 2.59
C 0.5000 0.5000 0.0000  6 La 2.59-2.62
O 0.1839 0.1839 0.3163  5 La 2.46-2.59
O 0.1843 0.1843 0.8581  5 La 2.48-2.73
O 0.5000 0.5000 0.5000  2 La 2.37
O 0.8157 0.8157 0.1419  5 La 2.48-2.73
O 0.8161 0.8161 0.6837  5 La 2.46-2.59

***

VASP calculation (PBE) on a relaxed structure of LaC3O.

Summary:
Calculated total energy (eV/atom): -5.515
Total magnetic moment (μB per formula unit): 0.000
Energy above the most stable polymorph in this dataset (meV per atom): 0
Symmetry: Pm-3m (221)

Lattice parameters (Å, degrees): 3.9097 3.9097 3.9097 90.00 90.00 90.00
Closest atoms and distances in Å follow each position.
Atoms (fractional coordinates):
La 0.0000 0.0000 0.0000  12 C 2.76
C 0.0000 0.5000 0.5000  2 O 1.95
C 0.5000 0.0000 0.5000  2 O 1.95
C 0.5000 0.5000 0.0000  2 O 1.95
O 0.5000 0.5000 0.5000  6 C 1.95

***

VASP calculation (PBE) on a relaxed structure of La2C2O.

Summary:
Calculated total energy (eV/atom): -7.704
Total magnetic moment (μB per formula unit): 0.000
Energy above the most stable polymorph in this dataset (meV per atom): 164
Symmetry: P4/mbm (127)

Lattice parameters (Å, degrees): 6.8670 6.8670 3.7972 90.00 90.00 90.00
Closest atoms and distances in Å follow each position.
Atoms (fractional coordinates):
La 0.2034 0.2966 0.0000  2 O 2.47
La 0.2966 0.7966 0.0000  2 O 2.47
La 0.7034 0.2034 0.0000  2 O 2.47
La 0.7966 0.7034 0.0000  2 O 2.47
C 0.0686 0.5686 0.5000  1 C 1.33
C 0.4314 0.0686 0.5000  1 C 1.33
C 0.5686 0.9314 0.5000  1 C 1.33
C 0.9314 0.4314 0.5000  1 C 1.33
O 0.0000 0.0000 0.0000  4 La 2.47
O 0.5000 0.5000 0.0000  4 La 2.47

***

VASP calculation (PBE) on a relaxed structure of LaCO2.

Summary:
Calculated total energy (eV/atom): -6.443
Total magnetic moment (μB per formula unit): 0.191
Symmetry: I-42d (122)

Lattice parameters (Å, degrees): 7.1349 7.1349 7.1349 145.05 145.05 50.26
Closest atoms and distances in Å follow each position.
Atoms (fractional coordinates):
La 0.0000 0.0000 0.0000  4 O 2.33
La 0.7500 0.2500 0.5000  4 O 2.33
C 0.2500 0.7500 0.5000  4 O 2.12
C 0.5000 0.5000 0.0000  4 O 2.12
O 0.1763 0.6250 0.0513  2 C 2.12, 2 La 2.33
O 0.3750 0.4263 0.5513  2 C 2.12, 2 La 2.33
O 0.5737 0.1250 0.9487  2 C 2.12, 2 La 2.33
O 0.8750 0.8237 0.4487  2 C 2.12, 2 La 2.33

***

VASP calculation (PBE) on a relaxed structure of LaCO2.

Summary:
Calculated total energy (eV/atom): -5.340
Total magnetic moment (μB per formula unit): 0.000
Symmetry: R-3m (166)

Lattice parameters (Å, degrees): 6.5705 6.5705 6.5705 28.00 28.00 28.00
Closest atoms and distances in Å follow each position.
Atoms (fractional coordinates):
La 0.0000 0.0000 0.0000  2 O 2.15
C 0.5000 0.5000 0.5000  6 O 2.09
O 0.1134 0.1134 0.1134  3 C 2.09, 1 La 2.15
O 0.8866 0.8866 0.8866  3 C 2.09, 1 La 2.15